Ca2SiGeAu6 after structural relaxation. Source: Alexandria, functional PBE.

Cell: 5.789 8.650 8.902 Å, 90.00 90.00 90.00°
Fractional positions:
Au: 0.500 0.129 0.249
Si: 0.000 0.748 0.000
Ge: 0.000 0.724 0.500
Au: 0.746 0.993 0.000
Au: 0.500 0.129 0.751
Au: 0.246 0.007 0.500
Ca: 0.500 0.735 0.254
Au: 0.754 0.007 0.500
Ge: 0.500 0.276 0.000
Au: 0.000 0.871 0.251
Ca: 0.000 0.265 0.246
Ca: 0.000 0.265 0.754
Au: 0.000 0.871 0.749
Au: 0.254 0.993 0.000
Au: 0.249 0.519 0.000
Au: 0.751 0.519 0.000
Au: 0.749 0.481 0.500
Ca: 0.500 0.735 0.746
Au: 0.251 0.481 0.500
Si: 0.500 0.252 0.500

## Properties
Its uncorrected formation energy is -0.44 eV/atom. The density of states at the Fermi level is 5.43 states/eV/cell.